No. 1
Computed, not measured: crystalline AlAsSe2 at its relaxed geometry at the PBE level of DFT.

The space group is Pm (No. 6) and the conventional cell measures 4.528, 3.734 and 6.344 Å, with angles of 90.00, 108.46 and 90.00 degrees. The asymmetric unit holds Al at (0.000, 0.000, 0.000), As at (0.551, 0.500, 0.878), Se at (0.129, 0.000, 0.654) and Se at (0.363, 0.500, 0.201).

Its energy relative to the elements, uncorrected is -0.235 eV per atom. For the relative energy among the computed polymorphs, the calculation gives 76 meV per atom.



No. 2
Computed, not measured: crystalline Fe5Sb at its relaxed geometry at the PBE level of DFT.

The space group is P4/mmm (No. 123) and the conventional cell measures 3.097, 3.097 and 8.290 Å, with angles of 90.00, 90.00 and 90.00 degrees. The asymmetric unit holds Fe at (0.000, 0.000, 0.000), Fe at (0.000, 0.000, 0.312), Fe at (0.500, 0.500, 0.160) and Sb at (0.500, 0.500, 0.500).

Its energy relative to the elements, uncorrected is 0.164 eV per atom.



No. 3
Computed, not measured: crystalline TcHg at its relaxed geometry at the PBE level of DFT.

The space group is P2_13 (No. 198) and the conventional cell measures 5.239, 5.239 and 5.239 Å, with angles of 90.00, 90.00 and 90.00 degrees. The asymmetric unit holds Tc at (0.102, 0.102, 0.102) and Hg at (0.097, 0.597, 0.903).

For the relative energy among the computed polymorphs, the calculation gives 718 meV per atom. The calculation puts the energy of formation at 0.9611 eV/atom.



No. 4
Computed, not measured: crystalline MnFeCuSn at its relaxed geometry at the PBE level of DFT.

The space group is F-43m (No. 216) and the conventional cell measures 6.126, 6.126 and 6.126 Å, with angles of 90.00, 90.00 and 90.00 degrees. The asymmetric unit holds Mn at (0.000, 0.000, 0.000), Fe at (0.250, 0.250, 0.250), Cu at (0.250, 0.250, 0.750) and Sn at (0.000, 0.000, 0.500).

The calculation puts the energy of formation at 0.1471 eV/atom.



Number 1: magnetic moment 0.00 μB per formula unit. Number 2: magnetic moment 11.91 μB per formula unit. Number 3: magnetic moment 0.00 μB per formula unit. Number 4: magnetic moment 5.15 μB per formula unit.